1.
A plane-wave DFT calculation with PBE was carried out for crystalline TeIr2Cl at its relaxed geometry.

## Properties
Formation energy (no corrections): 0.773 eV/atom
Energy above the most stable polymorph in this dataset: 672 meV per atom
Density of states at the Fermi level: 4.43 states/eV per cell

Lattice parameters (Å, degrees): 3.334 3.334 6.809 90.00 90.00 90.00
Fractional coordinates of all 4 atoms:
1 Ir 0.000 0.000 0.454
2 Ir 0.000 0.000 0.046
3 Te 0.500 0.500 0.250
4 Cl 0.500 0.500 0.750

2.
A plane-wave DFT calculation with PBE was carried out for crystalline Co3SnW at its relaxed geometry.

## Properties
Energy above the most stable polymorph in this dataset: 608 meV per atom
Calculated formation energy: 1902 meV per atom
Density of states at the Fermi level: 3.74 states/eV per cell

Lattice parameters (Å, degrees): 4.484 4.484 4.484 90.00 90.00 90.00
Fractional coordinates of all 5 atoms:
1 Co 0.500 0.000 0.000
2 Co 0.000 0.500 0.000
3 Co 0.000 0.000 0.500
4 W 0.500 0.500 0.500
5 Sn 0.000 0.000 0.000

Computed values of DFT total energy (unit: hartree per atom) for the preceding records, in sequence: -0.1802 -0.2114.
Computed values of calculated volume (unit: Å³ per atom) for the preceding records, in sequence: 18.9 18.0.
Computed values of spin magnetization (unit: μB/f.u.) for the preceding records, in sequence: 0.00 5.09.